Entry 1:
{"formula": "GdEr2Tm3OsSe2", "functional": "GGA-PBE", "state": "relaxed", "magnetic_moment_mub_per_atom": 0.0016, "energy_ev_per_atom": -5.858, "lattice": [[3.970, 0.000, 0.000], [0.000, 6.802, 4.026], [0.000, -6.802, 4.026]], "species": ["Gd", "Er", "Er", "Tm", "Tm", "Tm", "Os", "Se", "Se"], "fractional_positions": [[0.000, 0.000, 0.000], [0.000, 0.403, 0.800], [0.000, 0.800, 0.403], [0.500, 0.160, 0.403], [0.500, 0.403, 0.160], [0.500, 0.653, 0.653], [0.000, 0.418, 0.418], [0.500, 0.071, 0.738], [0.500, 0.738, 0.071]]}



Entry 2:
{"formula": "TbY3C2S2", "functional": "GGA-PBE", "state": "relaxed", "magnetic_moment_mub_per_atom": 0.0010, "energy_ev_per_atom": -7.596, "lattice": [[3.716, 0.000, 0.000], [-1.858, 3.218, 0.000], [0.000, 0.000, 12.941]], "species": ["Tb", "Y", "Y", "Y", "C", "C", "S", "S"], "fractional_positions": [[0.000, 0.000, 0.000], [0.000, 0.000, 0.292], [0.667, 0.333, 0.500], [0.667, 0.333, 0.791], [0.333, 0.667, 0.396], [0.333, 0.667, 0.896], [0.000, 0.000, 0.646], [0.667, 0.333, 0.147]]}



Entry 3:
{"formula": "K2FeSbS4", "functional": "GGA-PBE", "state": "relaxed", "magnetic_moment_mub_per_atom": 0.6252, "energy_ev_per_atom": -4.554, "lattice": [[8.494, 0.000, 0.000], [0.000, 9.754, 0.000], [-3.411, 0.000, 5.665]], "species": ["K", "K", "K", "K", "Fe", "Fe", "Sb", "Sb", "S", "S", "S", "S", "S", "S", "S", "S"], "fractional_positions": [[0.000, 0.000, 0.000], [0.000, 0.269, 0.500], [0.500, 0.500, 0.000], [0.500, 0.769, 0.500], [0.000, 0.658, 0.500], [0.500, 0.158, 0.500], [0.000, 0.572, 0.000], [0.500, 0.072, 0.000], [0.176, 0.735, 0.900], [0.213, 0.537, 0.468], [0.287, 0.037, 0.532], [0.324, 0.235, 0.100], [0.676, 0.235, 0.900], [0.713, 0.037, 0.468], [0.787, 0.537, 0.532], [0.824, 0.735, 0.100]]}



Entry 4:
{"formula": "PrTh2Te2", "functional": "GGA-PBE", "state": "relaxed", "magnetic_moment_mub_per_atom": 0.0020, "energy_ev_per_atom": -5.204, "lattice": [[-3.126, 3.126, 8.221], [3.126, -3.126, 8.221], [3.126, 3.126, -8.221]], "species": ["Pr", "Pr", "Th", "Th", "Th", "Th", "Te", "Te", "Te", "Te"], "fractional_positions": [[0.375, 0.625, 0.750], [0.625, 0.375, 0.250], [0.173, 0.423, 0.750], [0.423, 0.173, 0.250], [0.577, 0.827, 0.750], [0.827, 0.577, 0.250], [0.000, 0.000, 0.000], [0.000, 0.000, 0.500], [0.000, 0.500, 0.000], [0.500, 0.000, 0.500]]}



Entry 5:
{"formula": "Mg2Bi2Pd3", "functional": "GGA-PBE", "state": "relaxed", "energy_ev_per_atom": -4.298, "lattice": [[2.338, 1.350, 7.552], [-2.338, 1.350, 7.552], [0.000, -2.700, 7.552]], "species": ["Mg", "Mg", "Bi", "Bi", "Pd", "Pd", "Pd"], "fractional_positions": [[0.000, 0.000, 0.000], [0.491, 0.491, 0.491], [0.250, 0.250, 0.250], [0.743, 0.743, 0.743], [0.123, 0.123, 0.123], [0.619, 0.619, 0.619], [0.871, 0.871, 0.871]]}



Entry 6:
{"formula": "Al2Zn2Fe", "functional": "GGA-PBE", "state": "relaxed", "magnetic_moment_mub_per_atom": 0.5853, "energy_ev_per_atom": -3.269, "lattice": [[3.664, 0.000, 0.000], [0.000, 3.664, 0.000], [0.000, 0.000, 11.679]], "species": ["Al", "Al", "Al", "Al", "Zn", "Zn", "Zn", "Zn", "Fe", "Fe"], "fractional_positions": [[0.000, 0.500, 0.250], [0.000, 0.500, 0.750], [0.500, 0.000, 0.250], [0.500, 0.000, 0.750], [0.000, 0.000, 0.098], [0.000, 0.000, 0.902], [0.500, 0.500, 0.402], [0.500, 0.500, 0.598], [0.000, 0.000, 0.500], [0.500, 0.500, 0.000]]}